# 1
DFT (PBE-GGA) results for crystalline Sm2Dy3Tl7 at its relaxed geometry.

Cell and atoms, written as POSCAR:
```
Sm2Dy3Tl7
1.0
2.650 -12.864 0.000
2.650 12.864 0.000
0.000 0.000 5.424
Sm Dy Tl
2 3 7
Direct
0.151 0.849 0.000
0.849 0.151 0.000
0.349 0.651 0.500
0.500 0.500 0.500
0.651 0.349 0.500
0.000 0.000 0.000
0.079 0.921 0.500
0.280 0.720 0.000
0.426 0.574 0.000
0.574 0.426 0.000
0.720 0.280 0.000
0.921 0.079 0.500
```

total moment	0.00	μB per formula unit
formation energy	-0.0988	eV/atom
DOS at the Fermi energy	9.12	states/eV per cell

---

# 2
DFT (PBE-GGA) results for crystalline SmDy6Tl4 at its relaxed geometry.

Cell and atoms, written as POSCAR:
```
SmDy6Tl4
1.0
-3.902 3.902 5.856
3.902 -3.902 5.856
3.902 3.902 -5.856
Sm Dy Tl
1 6 4
Direct
0.000 0.000 0.000
0.000 0.500 0.500
0.104 0.104 0.630
0.474 0.474 0.370
0.500 0.000 0.500
0.526 0.896 0.000
0.896 0.526 0.000
0.254 0.603 0.000
0.397 0.397 0.650
0.603 0.254 0.000
0.746 0.746 0.350
```

total moment	0.14	μB per formula unit
formation energy	-0.0290	eV/atom
DOS at the Fermi energy	13.70	states/eV per cell

---

# 3
DFT (PBE-GGA) results for crystalline Sm3DyTl2 at its relaxed geometry.

Cell and atoms, written as POSCAR:
```
Sm3DyTl2
1.0
8.192 -2.518 0.000
8.192 2.518 0.000
-4.916 0.000 8.977
Sm Dy Tl
6 2 4
Direct
0.042 0.042 0.362
0.289 0.289 0.620
0.367 0.367 0.331
0.633 0.633 0.669
0.711 0.711 0.380
0.958 0.958 0.638
0.118 0.118 0.068
0.882 0.882 0.932
0.241 0.241 0.896
0.489 0.489 0.141
0.511 0.511 0.859
0.759 0.759 0.104
```

total moment	0.00	μB per formula unit
relative energy among the computed polymorphs	93	meV per atom
formation energy	-0.1763	eV/atom
DOS at the Fermi energy	12.19	states/eV per cell

---

# 4
DFT (PBE-GGA) results for crystalline Sm5DyTl2 at its relaxed geometry.

Cell and atoms, written as POSCAR:
```
Sm5DyTl2
1.0
5.508 0.000 0.000
-2.754 4.770 0.000
0.000 0.000 20.313
Sm Dy Tl
10 2 4
Direct
0.000 0.000 0.163
0.000 0.000 0.337
0.000 0.000 0.663
0.000 0.000 0.837
0.333 0.667 0.062
0.333 0.667 0.250
0.333 0.667 0.438
0.667 0.333 0.562
0.667 0.333 0.750
0.667 0.333 0.938
0.333 0.667 0.750
0.667 0.333 0.250
0.333 0.667 0.596
0.333 0.667 0.904
0.667 0.333 0.096
0.667 0.333 0.404
```

total moment	0.00	μB per formula unit
relative energy among the computed polymorphs	46	meV per atom
formation energy	-0.0599	eV/atom
DOS at the Fermi energy	28.49	states/eV per cell

---

# 5
DFT (PBE-GGA) results for crystalline Sm3Dy4Tl at its relaxed geometry.

Cell and atoms, written as POSCAR:
```
Sm3Dy4Tl
1.0
11.269 0.000 0.000
0.000 7.096 0.000
0.000 0.000 6.229
Sm Dy Tl
6 8 2
Direct
0.000 0.129 0.000
0.239 0.116 0.345
0.261 0.884 0.845
0.500 0.871 0.500
0.739 0.884 0.845
0.761 0.116 0.345
0.000 0.378 0.539
0.000 0.629 0.014
0.239 0.625 0.361
0.261 0.375 0.861
0.500 0.371 0.514
0.500 0.622 0.039
0.739 0.375 0.861
0.761 0.625 0.361
0.000 0.867 0.524
0.500 0.133 0.024
```

total moment	0.00	μB per formula unit
relative energy among the computed polymorphs	0	meV per atom
formation energy	-0.0744	eV/atom
DOS at the Fermi energy	17.45	states/eV per cell

---

# 6
DFT (PBE-GGA) results for crystalline Sm2Dy8Tl at its relaxed geometry.

Cell and atoms, written as POSCAR:
```
Sm2Dy8Tl
1.0
9.016 -2.480 0.000
9.016 2.480 0.000
-2.101 0.000 7.613
Sm Dy Tl
2 8 1
Direct
0.223 0.223 0.135
0.777 0.777 0.865
0.045 0.045 0.223
0.135 0.135 0.676
0.319 0.319 0.591
0.410 0.410 0.056
0.590 0.590 0.944
0.681 0.681 0.409
0.865 0.865 0.324
0.955 0.955 0.777
0.500 0.500 0.500
```

total moment	0.00	μB per formula unit
relative energy among the computed polymorphs	0	meV per atom
formation energy	-0.0333	eV/atom
DOS at the Fermi energy	14.83	states/eV per cell